Entry 1:
Density functional theory data (SCAN) for K2Mn2Pt at its PBEsol-relaxed geometry.

Output
Density, g cm⁻³: 6.0
Size of the total moment, Bohr magnetons per cell: 9.0
Energy, eV per atom: -23.78
ΔH_f (0 K), meV per atom: 890

The structure in POSCAR format:
```
K2Mn2Pt
1.0
3.7317 0.0000 0.0000
0.0000 3.7317 0.0000
-1.8659 -1.8659 7.6042
K Mn Pt
2 2 1
Direct
0.2500 0.7500 0.5000 K
0.7500 0.2500 0.5000 K
0.4246 0.4246 0.8493 Mn
0.5754 0.5754 0.1507 Mn
0.0000 0.0000 0.0000 Pt
```



Entry 2:
Density functional theory data (SCAN) for KMnPt2 at its PBEsol-relaxed geometry.

Output
Density, g cm⁻³: 11.2
Size of the total moment, Bohr magnetons per cell: 4.6
Energy, eV per atom: -42.10
ΔH_f (0 K), meV per atom: -353

The structure in POSCAR format:
```
KMnPt2
1.0
2.9429 0.0000 0.0000
0.0000 2.9429 0.0000
0.0000 0.0000 8.2956
K Mn Pt
1 1 2
Direct
0.5000 0.5000 0.0000 K
0.5000 0.5000 0.5000 Mn
0.0000 0.0000 0.6904 Pt
0.0000 0.0000 0.3096 Pt
```



Entry 3:
Density functional theory data (SCAN) for K2MnRe at its PBEsol-relaxed geometry.

Output
Density, g cm⁻³: 6.6
Size of the total moment, Bohr magnetons per cell: 2.4
Offset from the most stable computed form, eV per formula unit: 2.48
Energy, eV per atom: -25.08
ΔH_f (0 K), meV per atom: 1420

The structure in POSCAR format:
```
K2MnRe
1.0
-0.0375 0.9624 3.5960
3.5298 -1.1331 0.3400
1.8359 5.2992 -1.3991
K Mn Re
2 1 1
Direct
0.0000 0.5000 0.0000 K
0.5000 0.0000 0.0000 K
0.5000 0.5000 0.5000 Mn
0.0000 0.0000 0.5000 Re
```



Entry 4:
Density functional theory data (SCAN) for K2MnRe at its PBEsol-relaxed geometry.

Output
Density, g cm⁻³: 5.0
Size of the total moment, Bohr magnetons per cell: 2.2
Offset from the most stable computed form, eV per formula unit: 0.00
Energy, eV per atom: -25.70
ΔH_f (0 K), meV per atom: 799

The structure in POSCAR format:
```
K2MnRe
1.0
3.1861 0.0000 0.0000
0.0000 3.1861 0.0000
0.0000 0.0000 10.4256
K Mn Re
2 1 1
Direct
0.0000 0.0000 0.9205 K
0.5000 0.5000 0.3314 K
0.0000 0.0000 0.5830 Mn
0.5000 0.5000 0.6652 Re
```



Entry 5:
Density functional theory data (SCAN) for KMn2Rh at its PBEsol-relaxed geometry.

Output
Density, g cm⁻³: 5.1
Size of the total moment, Bohr magnetons per cell: 9.3
Offset from the most stable computed form, eV per formula unit: 0.00
Energy, eV per atom: -19.58
ΔH_f (0 K), meV per atom: 72

The structure in POSCAR format:
```
KMn2Rh
1.0
3.0782 0.0000 0.0000
0.0000 3.0782 0.0000
0.0000 0.0000 8.5951
K Mn Rh
1 2 1
Direct
0.5000 0.5000 0.5000 K
0.0000 0.0000 0.8338 Mn
0.0000 0.0000 0.1662 Mn
0.5000 0.5000 0.0000 Rh
```



Entry 6:
Density functional theory data (SCAN) for K2MnRh at its PBEsol-relaxed geometry.

Output
Density, g cm⁻³: 4.4
Size of the total moment, Bohr magnetons per cell: 4.9
Offset from the most stable computed form, eV per formula unit: 0.67
Energy, eV per atom: -16.37
ΔH_f (0 K), meV per atom: 802

The structure in POSCAR format:
```
K2MnRh
1.0
-0.2717 -0.5191 2.9611
3.7127 -4.0815 -0.3749
2.0796 5.5316 1.1606
K Mn Rh
2 1 1
Direct
0.0000 0.0000 0.5000 K
0.0000 0.5000 0.5000 K
0.5000 0.0000 0.0000 Mn
0.5000 0.5000 0.0000 Rh
```



Entry 7:
Density functional theory data (SCAN) for KMn2Rh at its PBEsol-relaxed geometry.

Output
Density, g cm⁻³: 6.0
Size of the total moment, Bohr magnetons per cell: 9.2
Offset from the most stable computed form, eV per formula unit: 1.84
Energy, eV per atom: -19.12
ΔH_f (0 K), meV per atom: 532

The structure in POSCAR format:
```
KMn2Rh
1.0
4.6343 0.0000 0.0000
-2.3172 3.9928 0.1026
0.0000 2.5907 3.8426
K Mn Rh
1 2 1
Direct
0.0000 0.0000 0.0000 K
0.2500 0.5000 0.2500 Mn
0.7500 0.5000 0.7500 Mn
0.5000 0.0000 0.5000 Rh
```



Entry 8:
Density functional theory data (SCAN) for K2MnRh at its PBEsol-relaxed geometry.

Output
Density, g cm⁻³: 4.2
Size of the total moment, Bohr magnetons per cell: 4.9
Offset from the most stable computed form, eV per formula unit: 0.77
Energy, eV per atom: -16.35
ΔH_f (0 K), meV per atom: 824

The structure in POSCAR format:
```
K2MnRh
1.0
-0.6046 2.8069 0.3930
0.0437 -0.3926 2.8710
10.8496 2.3157 0.1517
K Mn Rh
2 1 1
Direct
0.0000 0.0000 0.7197 K
0.0000 0.0000 0.2803 K
0.5000 0.5000 0.0000 Mn
0.5000 0.5000 0.5000 Rh
```



Entry 9:
Density functional theory data (SCAN) for KMn2Rh at its PBEsol-relaxed geometry.

Output
Density, g cm⁻³: 5.8
Size of the total moment, Bohr magnetons per cell: 9.0
Offset from the most stable computed form, eV per formula unit: 1.08
Energy, eV per atom: -19.31
ΔH_f (0 K), meV per atom: 343

The structure in POSCAR format:
```
KMn2Rh
1.0
-2.7668 -0.0035 -0.8606
-1.6860 -2.2910 0.5519
-4.1844 3.3092 8.5609
K Mn Rh
1 2 1
Direct
0.0000 0.0000 0.0000 K
0.2331 0.2331 0.3006 Mn
0.7669 0.7669 0.6994 Mn
0.5000 0.5000 0.5000 Rh
```



Entry 10:
Density functional theory data (SCAN) for K2MnRh at its PBEsol-relaxed geometry.

Output
Density, g cm⁻³: 4.3
Size of the total moment, Bohr magnetons per cell: 5.2
Offset from the most stable computed form, eV per formula unit: 0.00
Energy, eV per atom: -16.54
ΔH_f (0 K), meV per atom: 633

The structure in POSCAR format:
```
K2MnRh
1.0
5.0454 0.0000 0.0000
2.5227 4.3694 0.0000
2.5227 1.4565 4.1196
K Mn Rh
2 1 1
Direct
0.0000 0.0000 0.0000 K
0.7500 0.7500 0.7500 K
0.5000 0.5000 0.5000 Mn
0.2500 0.2500 0.2500 Rh
```



Entry 11:
Density functional theory data (SCAN) for K2MnRu at its PBEsol-relaxed geometry.

Output
Density, g cm⁻³: 4.8
Size of the total moment, Bohr magnetons per cell: 4.2
Energy, eV per atom: -16.38
ΔH_f (0 K), meV per atom: 1054

The structure in POSCAR format:
```
K2MnRu
1.0
-1.6760 1.9702 1.4155
-3.5727 -0.8407 -3.0601
-1.9619 -4.1296 3.4251
K Mn Ru
2 1 1
Direct
0.0000 0.0000 0.0000 K
0.5000 0.5000 0.0000 K
0.5000 0.0000 0.5000 Mn
0.0000 0.5000 0.5000 Ru
```



Entry 12:
Density functional theory data (SCAN) for KMnRu2 at its PBEsol-relaxed geometry.

Output
Density, g cm⁻³: 6.3
Size of the total moment, Bohr magnetons per cell: 4.5
Offset from the most stable computed form, eV per formula unit: 0.00
Energy, eV per atom: -23.59
ΔH_f (0 K), meV per atom: 470

The structure in POSCAR format:
```
KMnRu2
1.0
-2.6410 -0.1774 0.8004
-0.0664 -3.5079 -0.9966
2.2872 -2.0576 7.0902
K Mn Ru
1 1 2
Direct
0.0000 0.0000 0.4889 K
0.5000 0.5000 0.8396 Mn
0.0000 0.0000 0.0151 Ru
0.5000 0.5000 0.1564 Ru
```